(1)
The following is a PBE-GGA calculation of a relaxed structure of BaDyIn, from Alexandria.

a b c (Å): 4.0052 4.0052 7.4821
angles (deg): 105.52 105.52 90.00
Closest atoms and distances in Å follow each position.
Sites, in units of the cell vectors:
Dy1 0.2941 0.2941 0.5881  4 In 3.17
Ba1 0.0146 0.0146 0.0292  4 In 3.74, 5 Dy 3.87-4.17, 4 Ba 4.01
In1 0.6913 0.6913 0.3827  4 Dy 3.17

Values from the calculation:
Formation enthalpy at 0 K ... -52.9 kJ/mol of formula units
DOS at the Fermi energy ... 1.210 states/eV per atom
Magnetization ... 0.0000 μB per atom
V ... 111.1 Å³ per cell
Calculated density ... 6.2 g/cm3
Excess energy over the best structure of this formula in the dataset ... 0.132 eV per atom
Raw total energy ... -9.81 eV per cell

=====

(2)
The following is a PBE-GGA calculation of a relaxed structure of BaLiIrO6, from Alexandria.

a b c (Å): 5.3331 5.3335 5.6599
angles (deg): 90.01 90.00 59.99
Closest atoms and distances in Å follow each position.
Sites, in units of the cell vectors:
Ba1 0.0000 0.0000 0.0000  6 O 2.68
Li1 0.6666 0.6667 0.5000  6 O 2.11
Ir1 0.3333 0.3333 0.5000  6 O 1.87
O1 0.0337 0.3632 0.3097  1 Ir 1.87
O2 0.3632 0.0338 0.6903  1 Ir 1.87
O3 0.6030 0.3633 0.6903  1 Ir 1.87
O4 0.0336 0.6032 0.6902  1 Ir 1.87
O5 0.3633 0.6029 0.3096  1 Ir 1.87
O6 0.6031 0.0336 0.3097  1 Ir 1.87

Values from the calculation:
DOS at the Fermi energy ... 0.203 states/eV per atom
Magnetization ... 0.0000 μB per atom
V ... 139.4 Å³ per cell
Calculated density ... 5.2 g/cm3
Raw formation energy ... -10.46 eV/f.u.
Raw total energy ... -52.90 eV per cell

=====

(3)
The following is a PBE-GGA calculation of a relaxed structure of K5Rb2CdHg2, from Alexandria.

a b c (Å): 4.8106 14.7859 14.7859
angles (deg): 90.00 90.00 90.00
Closest atoms and distances in Å follow each position.
Sites, in units of the cell vectors:
K1 0.5000 0.1957 0.0623  2 Hg 3.66, 2 Cd 3.87
K2 0.5000 0.8043 0.9377  2 Hg 3.66, 2 Cd 3.87
K3 0.5000 0.0623 0.8043  2 Hg 3.66, 2 Cd 3.87
K4 0.5000 0.6957 0.4377  2 Hg 3.66, 2 Cd 3.87
K5 0.5000 0.9377 0.1957  2 Hg 3.66, 2 Cd 3.87
K6 0.5000 0.3043 0.5623  2 Hg 3.66, 2 Cd 3.87
K7 0.5000 0.5623 0.6957  2 Hg 3.66, 2 Cd 3.87
K8 0.5000 0.4377 0.3043  2 Hg 3.66, 2 Cd 3.87
K9 0.5000 0.5000 0.0000  4 Hg 3.64
K10 0.5000 0.0000 0.5000  4 Hg 3.64
Rb1 0.0000 0.6765 0.1765  1 Hg 4.04, 2 K 4.41
Rb2 0.0000 0.3235 0.8235  1 Hg 4.04, 2 K 4.41
Rb3 0.0000 0.1765 0.3235  1 Hg 4.04, 2 K 4.41
Rb4 0.0000 0.8235 0.6765  1 Hg 4.04, 2 K 4.41
Cd1 0.0000 0.0000 0.0000  8 K 3.87
Cd2 0.0000 0.5000 0.5000  8 K 3.87
Hg1 0.0000 0.1305 0.6305  6 K 3.64-3.66, 1 Rb 4.04
Hg2 0.0000 0.8695 0.3695  6 K 3.64-3.66, 1 Rb 4.04
Hg3 0.0000 0.6305 0.8695  6 K 3.64-3.66, 1 Rb 4.04
Hg4 0.0000 0.3695 0.1305  6 K 3.64-3.66, 1 Rb 4.04

Values from the calculation:
Formation enthalpy at 0 K ... -90.8 kJ/mol of formula units
DOS at the Fermi energy ... 0.742 states/eV per atom
Magnetization ... 0.0000 μB per atom
V ... 1051.7 Å³ per cell
Calculated density ... 2.8 g/cm3
Raw total energy ... -19.76 eV per cell

=====

(4)
The following is a PBE-GGA calculation of a relaxed structure of GdSi2Pd2, from Alexandria.

a b c (Å): 5.8015 5.8015 5.8015
angles (deg): 137.81 137.81 61.19
Closest atoms and distances in Å follow each position.
Sites, in units of the cell vectors:
Gd1 0.0000 0.0000 0.0000  8 Si 3.18, 8 Pd 3.25
Si1 0.6169 0.6169 0.0000  1 Si 2.34, 4 Pd 2.48
Si2 0.3831 0.3831 0.0000  1 Si 2.34, 4 Pd 2.48
Pd1 0.2500 0.7500 0.5000  4 Si 2.48
Pd2 0.7500 0.2500 0.5000  4 Si 2.48

Values from the calculation:
DOS at the Fermi energy ... 0.681 states/eV per atom
Magnetization ... 1.4233 μB per atom
V ... 87.1 Å³ per cell
Calculated density ... 8.1 g/cm3
Raw formation energy ... -4.68 eV/f.u.
Raw total energy ... -39.99 eV per cell

=====

(5)
The following is a PBE-GGA calculation of a relaxed structure of Tb2Pr2Ir3, from Alexandria.

a b c (Å): 4.4842 6.0775 7.5312
angles (deg): 98.33 89.93 111.69
Closest atoms and distances in Å follow each position.
Sites, in units of the cell vectors:
Tb1 0.6395 0.2791 0.9377  5 Ir 2.81-2.85
Tb2 0.3605 0.7209 0.0623  5 Ir 2.81-2.85
Pr1 0.8650 0.7284 0.6440  4 Ir 2.85-3.13
Pr2 0.1350 0.2716 0.3560  4 Ir 2.85-3.13
Ir1 0.0000 0.0000 0.0000  4 Tb 2.82, 2 Pr 2.87, 2 Ir 3.14
Ir2 0.8084 0.6172 0.2614  3 Tb 2.81-2.85, 3 Pr 2.85-3.13, 1 Ir 3.14
Ir3 0.1916 0.3828 0.7386  3 Tb 2.81-2.85, 3 Pr 2.85-3.13, 1 Ir 3.14

Values from the calculation:
Formation enthalpy at 0 K ... -390.4 kJ/mol of formula units
DOS at the Fermi energy ... 0.434 states/eV per atom
Magnetization ... 0.0000 μB per atom
V ... 188.4 Å³ per cell
Calculated density ... 10.4 g/cm3
Excess energy over the best structure of this formula in the dataset ... 0.065 eV per atom
Raw total energy ... -49.45 eV per cell

=====

(6)
The following is a PBE-GGA calculation of a relaxed structure of TlGa2Pd, from Alexandria.

a b c (Å): 7.8747 7.8747 6.2396
angles (deg): 50.87 50.87 90.00
Closest atoms and distances in Å follow each position.
Sites, in units of the cell vectors:
Tl1 0.0000 0.0000 0.0000  2 Pd 2.82
Tl2 0.7500 0.2500 0.5000  2 Pd 2.82
Ga1 0.5651 0.1250 0.2500  2 Pd 2.57
Ga2 0.1849 0.6250 0.2500  2 Pd 2.57
Ga3 0.3750 0.4349 0.7500  2 Pd 2.57
Ga4 0.8750 0.8151 0.7500  2 Pd 2.57
Pd1 0.5000 0.5000 0.0000  4 Ga 2.57, 2 Tl 2.82
Pd2 0.2500 0.7500 0.5000  4 Ga 2.57, 2 Tl 2.82

Values from the calculation:
Formation enthalpy at 0 K ... -26.5 kJ/mol of formula units
DOS at the Fermi energy ... 0.395 states/eV per atom
Magnetization ... 0.0000 μB per atom
V ... 174.6 Å³ per cell
Calculated density ... 8.6 g/cm3
Excess energy over the best structure of this formula in the dataset ... 0.119 eV per atom
Raw total energy ... -27.78 eV per cell

=====

(7)
The following is a PBE-GGA calculation of a relaxed structure of AcPm4Sm10, from Alexandria.

a b c (Å): 6.8890 9.7146 9.7146
angles (deg): 82.78 69.23 69.23
Closest atoms and distances in Å follow each position.
Sites, in units of the cell vectors:
Ac1 0.0000 0.0000 0.0000  8 Pm 4.24, 8 Sm 4.47
Pm1 0.4332 0.8866 0.2470  6 Sm 3.39-3.48, 2 Pm 3.49
Pm2 0.6802 0.7530 0.8866  6 Sm 3.39-3.48, 2 Pm 3.49
Pm3 0.3198 0.2470 0.1134  6 Sm 3.39-3.48, 2 Pm 3.49
Pm4 0.5668 0.1134 0.7530  6 Sm 3.39-3.48, 2 Pm 3.49
Sm1 0.2500 0.5000 0.5000  6 Sm 3.13-3.44
Sm2 0.6201 0.4242 0.8363  4 Sm 3.13-3.45, 3 Pm 3.39-3.48
Sm3 0.9557 0.1637 0.4242  4 Sm 3.13-3.45, 3 Pm 3.39-3.48
Sm4 0.5436 0.8363 0.5758  4 Sm 3.13-3.45, 3 Pm 3.39-3.48
Sm5 0.8807 0.5758 0.1637  4 Sm 3.13-3.45, 3 Pm 3.39-3.48
Sm6 0.3799 0.5758 0.1637  4 Sm 3.13-3.45, 3 Pm 3.39-3.48
Sm7 0.7500 0.5000 0.5000  6 Sm 3.13-3.44
Sm8 0.1193 0.4242 0.8363  4 Sm 3.13-3.45, 3 Pm 3.39-3.48
Sm9 0.4564 0.1637 0.4242  4 Sm 3.13-3.45, 3 Pm 3.39-3.48
Sm10 0.0443 0.8363 0.5758  4 Sm 3.13-3.45, 3 Pm 3.39-3.48

Values from the calculation:
Formation enthalpy at 0 K ... 702.1 kJ/mol of formula units
DOS at the Fermi energy ... 1.686 states/eV per atom
Magnetization ... 0.0000 μB per atom
V ... 568.4 Å³ per cell
Calculated density ... 6.8 g/cm3
Raw total energy ... -63.03 eV per cell

=====

(8)
The following is a PBE-GGA calculation of a relaxed structure of SrCdInNi, from Alexandria.

a b c (Å): 4.2964 5.5901 8.7057
angles (deg): 90.00 90.00 90.00
Closest atoms and distances in Å follow each position.
Sites, in units of the cell vectors:
Sr1 0.5000 0.0000 0.4642  2 Ni 2.80
Sr2 0.5000 0.5000 0.9642  2 Ni 2.80
Cd1 0.0000 0.0000 0.7916  2 Ni 2.67
Cd2 0.0000 0.5000 0.2916  2 Ni 2.67
In1 0.0000 0.0000 0.1400  2 Ni 2.59
In2 0.0000 0.5000 0.6400  2 Ni 2.59
Ni1 0.5000 0.0000 0.9738  2 In 2.59, 2 Cd 2.67, 2 Sr 2.80
Ni2 0.5000 0.5000 0.4738  2 In 2.59, 2 Cd 2.67, 2 Sr 2.80

Values from the calculation:
Formation enthalpy at 0 K ... -39.4 kJ/mol of formula units
DOS at the Fermi energy ... 0.514 states/eV per atom
Magnetization ... 0.0000 μB per atom
V ... 209.1 Å³ per cell
Calculated density ... 5.9 g/cm3
Excess energy over the best structure of this formula in the dataset ... 0.094 eV per atom
Raw total energy ... -23.05 eV per cell

=====

(9)
The following is a PBE-GGA calculation of a relaxed structure of La2PmTm4, from Alexandria.

a b c (Å): 5.5184 5.5184 9.4785
angles (deg): 106.92 106.92 90.00
Closest atoms and distances in Å follow each position.
Sites, in units of the cell vectors:
La1 0.6274 0.6274 0.2547  5 Tm 3.44-3.53
La2 0.3726 0.3726 0.7453  5 Tm 3.44-3.53
Pm1 0.0000 0.0000 0.0000  6 Tm 2.76-2.99
Tm1 0.8267 0.8267 0.6534  1 Pm 2.99
Tm2 0.1733 0.1733 0.3466  1 Pm 2.99
Tm3 0.0000 0.5000 0.0000  2 Pm 2.76
Tm4 0.5000 0.0000 0.0000  2 Pm 2.76

Values from the calculation:
Formation enthalpy at 0 K ... 419.6 kJ/mol of formula units
DOS at the Fermi energy ... 1.405 states/eV per atom
Magnetization ... 0.0008 μB per atom
V ... 263.1 Å³ per cell
Calculated density ... 6.9 g/cm3
Excess energy over the best structure of this formula in the dataset ... 0.593 eV per atom
Raw total energy ... -28.14 eV per cell